Crystalline KScAg2Br6 at its relaxed geometry, computed with GGA-PBE.

Cell: 7.911 7.911 7.911 Å, 55.06 55.06 55.06°
Atoms (fractional coordinates):
K (0.000, 0.000, 0.000)
Sc (0.482, 0.482, 0.482)
Ag (0.291, 0.291, 0.291)
Ag (0.812, 0.812, 0.812)
Br (0.090, 0.659, 0.452)
Br (0.247, 0.552, 0.867)
Br (0.452, 0.090, 0.659)
Br (0.552, 0.867, 0.247)
Br (0.659, 0.452, 0.090)
Br (0.867, 0.247, 0.552)

Output
Uncorrected formation energy: -1139 meV per atom
Spin magnetization: 0.0000 μB per atom


Crystalline PuPaVMo at its relaxed geometry, computed with GGA-PBE.

Cell: 4.721 4.721 4.721 Å, 60.00 60.00 60.00°
Atoms (fractional coordinates):
Pu (0.000, 0.000, 0.000)
Pa (0.750, 0.750, 0.750)
V (0.250, 0.250, 0.250)
Mo (0.500, 0.500, 0.500)

Output
Formation enthalpy at 0 K: 178 meV per atom
Spin magnetization: 1.2286 μB per atom


Crystalline KTl2NiAu at its relaxed geometry, computed with GGA-PBE.

Cell: 5.075 5.075 5.256 Å, 90.00 90.00 90.00°
Atoms (fractional coordinates):
K (0.000, 0.000, 0.000)
Tl (0.000, 0.500, 0.500)
Tl (0.500, 0.000, 0.500)
Ni (0.500, 0.500, 0.500)
Au (0.500, 0.500, 0.000)

Output
Formation enthalpy at 0 K: -20 meV per atom
Spin magnetization: 0.0000 μB per atom


Crystalline Pm3Ag2Sn3 at its relaxed geometry, computed with GGA-PBE.

Cell: 8.910 8.910 6.200 Å, 90.00 90.00 120.00°
Atoms (fractional coordinates):
Pm (0.000, 0.252, 0.250)
Pm (0.000, 0.748, 0.750)
Pm (0.252, 0.000, 0.250)
Pm (0.252, 0.252, 0.750)
Pm (0.748, 0.000, 0.750)
Pm (0.748, 0.748, 0.250)
Ag (0.333, 0.667, 0.000)
Ag (0.333, 0.667, 0.500)
Ag (0.667, 0.333, 0.000)
Ag (0.667, 0.333, 0.500)
Sn (0.000, 0.403, 0.750)
Sn (0.000, 0.597, 0.250)
Sn (0.403, 0.000, 0.750)
Sn (0.403, 0.403, 0.250)
Sn (0.597, 0.000, 0.250)
Sn (0.597, 0.597, 0.750)

Output
Formation enthalpy at 0 K: -386 meV per atom
Spin magnetization: 0.0000 μB per atom


| no. | DOS at the Fermi energy (states/eV per cell) |
| --- | --- |
| 1 | 0.00 |
| 2 | 9.19 |
| 3 | 2.13 |
| 4 | 16.34 |